The following is a GGA+U calculation of a geometry-optimized CsFe3F9 structure, from Alexandria via LeMat-Bulk.

Calculated values
Uncorrected energy = -5.20 eV/atom
SG = P6/mmm (191)

a = 3.9696 Å, b = 7.6419 Å, c = 7.6419 Å
α = 120.00°, β = 90.00°, γ = 90.00°
Site moments in Bohr magnetons follow the coordinates.
Positions (direct):
Fe 0.5000 0.0000 0.5000  4.32
Fe 0.5000 0.5000 0.0000  4.32
F 0.5000 0.2053 0.4107  0.10
Fe 0.5000 0.5000 0.5000  4.32
F 0.5000 0.5893 0.7947  0.10
F 0.5000 0.2053 0.7947  0.10
F 0.5000 0.7947 0.2053  0.10
F 0.5000 0.4107 0.2053  0.10
F 0.0000 0.5000 0.0000  0.10
Cs 0.0000 0.0000 0.0000  0.00
F 0.5000 0.7947 0.5893  0.10
F 0.0000 0.5000 0.5000  0.10
F 0.0000 0.0000 0.5000  0.10